Entry 1:
Material: SrPbSeS
Method: DFT, PBE
State: relaxed

Magnetic moment in μB/cell: 0.0
Formation energy (no corrections) in eV/atom: -1.320

Cell: 4.358 4.358 6.118 Å, 90.00 90.00 90.00°
Space group P4/mmm (No. 123)
Unique sites:
1 Sr 0.000 0.000 0.000 [1 per cell]
2 Pb 0.500 0.500 0.500 [1 per cell]
3 Se 0.500 0.500 0.000 [1 per cell]
4 S 0.000 0.000 0.500 [1 per cell]

Entry 2:
Material: TaPbSeS2
Method: DFT, PBE
State: relaxed

Magnetic moment in μB/cell: 2.3
Formation energy (no corrections) in eV/atom: 1.228

Cell: 5.024 5.024 5.316 Å, 90.00 90.00 90.00°
Space group P4/mmm (No. 123)
Unique sites:
1 Ta 0.000 0.000 0.000 [1 per cell]
2 Pb 0.500 0.500 0.500 [1 per cell]
3 Se 0.500 0.500 0.000 [1 per cell]
4 S 0.000 0.500 0.500 [2 per cell]

Entry 3:
Material: Tb4Pb2SeS
Method: DFT, PBE
State: relaxed

Magnetic moment in μB/cell: 0.0
Formation energy (no corrections) in eV/atom: -1.160

Cell: 6.824 3.952 8.208 Å, 90.00 106.01 90.00°
Space group P2/m (No. 10)
Unique sites:
1 Tb 0.225 0.000 0.203 [2 per cell]
2 Tb 0.256 0.500 0.792 [2 per cell]
3 Pb 0.000 0.000 0.500 [1 per cell]
4 Pb 0.500 0.500 0.500 [1 per cell]
5 Se 0.500 0.000 0.000 [1 per cell]
6 S 0.000 0.500 0.000 [1 per cell]

Entry 4:
Material: Tb3PbSeS
Method: DFT, PBE
State: relaxed

Magnetic moment in μB/cell: 0.0
Formation energy (no corrections) in eV/atom: -1.402

Cell: 7.185 4.189 10.926 Å, 90.00 102.45 90.00°
Space group P2_1/m (No. 11)
Unique sites:
1 Tb 0.047 0.250 0.160 [2 per cell]
2 Tb 0.243 0.250 0.508 [2 per cell]
3 Tb 0.444 0.750 0.829 [2 per cell]
4 Pb 0.345 0.750 0.308 [2 per cell]
5 Se 0.237 0.250 0.945 [2 per cell]
6 S 0.126 0.750 0.637 [2 per cell]

Entry 5:
Material: Te3Pb6SeS2
Method: DFT, PBE
State: relaxed

Magnetic moment in μB/cell: 0.0
Formation energy (no corrections) in eV/atom: -0.459

Cell: 7.722 13.380 7.731 Å, 90.00 109.46 90.00°
Space group C2/m (No. 12)
Unique sites:
1 Te 0.000 0.000 0.000 [2 per cell]
2 Te 0.000 0.336 0.000 [4 per cell]
3 Pb 0.236 0.000 0.726 [4 per cell]
4 Pb 0.246 0.330 0.728 [8 per cell]
5 Se 0.000 0.500 0.500 [2 per cell]
6 S 0.000 0.167 0.500 [4 per cell]

Entry 6:
Material: TePb3SeS
Method: DFT, PBE
State: relaxed

Magnetic moment in μB/cell: 0.0
Formation energy (no corrections) in eV/atom: -0.440

Cell: 8.722 4.421 11.055 Å, 90.00 97.88 90.00°
Space group P2_1/m (No. 11)
Unique sites:
1 Te 0.158 0.250 0.186 [2 per cell]
2 Pb 0.124 0.250 0.880 [2 per cell]
3 Pb 0.164 0.750 0.434 [2 per cell]
4 Pb 0.432 0.750 0.147 [2 per cell]
5 Se 0.165 0.250 0.612 [2 per cell]
6 S 0.353 0.750 0.903 [2 per cell]